Entry from Alexandria: Li2FeF6 at its PBEsol-relaxed geometry (SCAN).

Geometry as CIF:
```
data_Li2FeF6
_chemical_formula_sum 'Li6 Fe3 F18'
_symmetry_space_group_name_H-M 'P 1'
_symmetry_Int_Tables_number 1
_symmetry_space_group_name_Hall 'P 1'
_cell_length_a 4.348
_cell_length_b 8.462
_cell_length_c 8.462
_cell_angle_alpha 120.00
_cell_angle_beta 90.00
_cell_angle_gamma 90.00
loop_
_atom_site_label
_atom_site_type_symbol
_atom_site_fract_x
_atom_site_fract_y
_atom_site_fract_z
F1 F 0.747 0.435 0.869
F2 F 0.780 0.792 0.896
F3 F 0.220 0.208 0.104
F4 F 0.747 0.131 0.565
F5 F 0.272 0.233 0.465
F6 F 0.728 0.767 0.535
F7 F 0.272 0.233 0.767
F8 F 0.747 0.435 0.565
F9 F 0.220 0.896 0.104
F10 F 0.728 0.767 0.233
F11 F 0.253 0.565 0.435
F12 F 0.272 0.535 0.767
F13 F 0.781 0.104 0.208
F14 F 0.253 0.869 0.435
F15 F 0.780 0.104 0.896
F16 F 0.253 0.565 0.131
F17 F 0.728 0.465 0.233
F18 F 0.219 0.896 0.792
Fe1 Fe 0.508 0.333 0.667
Fe2 Fe 0.000 0.000 0.000
Fe3 Fe 0.492 0.667 0.333
Li1 Li 0.000 0.000 0.658
Li2 Li 0.000 0.000 0.342
Li3 Li 0.000 0.342 0.000
Li4 Li 0.000 0.658 0.000
Li5 Li 0.000 0.342 0.342
Li6 Li 0.000 0.658 0.658
```

Relative energy among the computed polymorphs, eV/atom: 0.033
Raw formation energy, kJ per mole of atoms: -252.60
Total energy, eV/atom: -7.523

---

Entry from Alexandria: BaHfSn2Rh at its PBEsol-relaxed geometry (SCAN).

Geometry as CIF:
```
data_BaHfSn2Rh
_chemical_formula_sum 'Ba1 Hf1 Sn2 Rh1'
_symmetry_space_group_name_H-M 'P 1'
_symmetry_Int_Tables_number 1
_symmetry_space_group_name_Hall 'P 1'
_cell_length_a 5.373
_cell_length_b 5.373
_cell_length_c 5.719
_cell_angle_alpha 90.00
_cell_angle_beta 90.00
_cell_angle_gamma 90.00
loop_
_atom_site_label
_atom_site_type_symbol
_atom_site_fract_x
_atom_site_fract_y
_atom_site_fract_z
Rh1 Rh 0.500 0.500 0.500
Ba1 Ba 0.000 0.000 0.500
Sn1 Sn 0.500 0.000 0.000
Sn2 Sn 0.000 0.500 0.000
Hf1 Hf 0.000 0.000 0.000
```

Energy of formation, eV per atom: 0.96
N(E_F), states/eV per atom: 1.036
Total energy, eV/atom: -40.603

---

Q: total energy of number 1 (Li2FeF6)?
A: -7.523 eV/atom